(A)
DFT (PBE) results for a relaxed PrN4 crystal.

Unit cell a=4.8952 b=4.8952 c=4.8952 alpha=90.00 beta=90.00 gamma=90.00
Last column: nearest neighbours and their distance in Å.
Element x y z (fractional)
Pr  0.5000  0.5000  0.5000  6 N 2.45
N  0.5000  0.5000  0.0000  2 Pr 2.45
N  0.0000  0.5000  0.5000  2 Pr 2.45
N  0.0000  0.0000  0.0000  12 N 3.46
N  0.5000  0.0000  0.5000  2 Pr 2.45

(B)
DFT (PBE) results for a relaxed PrN4 crystal.

Unit cell a=4.0790 b=7.5487 c=10.5189 alpha=132.12 beta=92.79 gamma=120.47
Last column: nearest neighbours and their distance in Å.
Element x y z (fractional)
N  0.4535  0.0948  0.9794  1 N 1.20
N  0.0583  0.6846  0.5467  1 N 1.22
N  0.0683  0.1032  0.5534  1 N 1.14
N  0.7367  0.0956  0.0159  1 N 1.20
N  0.1429  0.5170  0.4524  1 N 1.22
N  0.3103  0.6838  0.0372  1 N 1.22
N  0.8916  0.5179  0.9654  1 N 1.22
N  0.1386  0.1031  0.4497  1 N 1.14
Pr  0.0483  0.0992  0.7951  6 N 2.41-2.64
Pr  0.1516  0.1008  0.2048  6 N 2.41-2.64

It is (B) that is the most stable of them.

(A)
DFT (PBE) results for a relaxed Pr3N crystal.

Unit cell a=3.3822 b=6.2534 c=6.2976 alpha=119.77 beta=105.58 gamma=90.00
Last column: nearest neighbours and their distance in Å.
Element x y z (fractional)
Pr  0.3405  0.7175  0.6809  2 N 2.64
Pr  0.6595  0.0366  0.3191  2 N 2.64
Pr  0.5000  0.3494  0.0000  2 N 2.46
N  0.0000  0.0631  0.0000  6 Pr 2.46-2.64

(B)
DFT (PBE) results for a relaxed Pr3N crystal.

Unit cell a=6.1385 b=7.3081 c=9.8483 alpha=90.00 beta=90.00 gamma=90.00
Last column: nearest neighbours and their distance in Å.
Element x y z (fractional)
Pr  0.7501  0.2501  0.0733  2 N 2.49
Pr  0.7960  0.0001  0.7500  2 N 2.76
Pr  0.7040  0.5001  0.7500  2 N 2.76
Pr  0.2499  0.7499  0.5733  2 N 2.49
Pr  0.2960  0.4999  0.2500  2 N 2.76
Pr  0.2501  0.2499  0.9267  2 N 2.49
Pr  0.7499  0.7501  0.0733  2 N 2.49
Pr  0.7501  0.2501  0.4267  2 N 2.49
Pr  0.2499  0.7499  0.9267  2 N 2.49
Pr  0.2501  0.2499  0.5733  2 N 2.49
Pr  0.7499  0.7501  0.4267  2 N 2.49
Pr  0.2040  0.9999  0.2500  2 N 2.76
N  0.0000  0.0000  0.5000  6 Pr 2.49-2.76
N  0.5000  0.5000  0.0000  6 Pr 2.49-2.76
N  0.5000  0.5000  0.5000  6 Pr 2.49-2.76
N  0.0000  0.0000  0.0000  6 Pr 2.49-2.76

It is (B) that is the most stable of them.